This record from Alexandria describes an optimized crystal structure of RbPAu3. The functional is GGA-PBE.

abc: 6.0831 6.0831 6.0831
angles: 90.00 90.00 90.00
Fractional positions:
Rb 0.0000 0.0000 0.0000
P 0.5000 0.5000 0.5000
Au 0.0000 0.0000 0.5000
Au 0.0000 0.5000 0.0000
Au 0.5000 0.0000 0.0000

Calculated total energy   -0.0567 Ha/atom
Fermi-level density of states   0.07 states/eV per atom
ΔE to the lowest computed polymorph   1899 meV/atom
Calculated formation energy   1.7000 eV per atom

This record from Alexandria describes an optimized crystal structure of Sm2Ag2O5. The functional is GGA-PBE.

abc: 4.1593 4.1593 7.1658
angles: 90.00 90.00 90.00
Fractional positions:
Sm 0.0000 0.0000 0.0000
Sm 0.0000 0.0000 0.5000
Ag 0.5000 0.5000 0.1941
Ag 0.5000 0.5000 0.8059
O 0.0000 0.5000 0.2144
O 0.0000 0.5000 0.7856
O 0.5000 0.0000 0.2144
O 0.5000 0.0000 0.7856
O 0.5000 0.5000 0.5000

Calculated total energy   -0.2176 Ha/atom
Fermi-level density of states   0.18 states/eV per atom
ΔE to the lowest computed polymorph   291 meV/atom
Raw formation energy   -1484 meV/atom

This record from Alexandria describes an optimized crystal structure of Ti3VP3. The functional is GGA-PBE.

abc: 6.2189 6.2189 6.2568
angles: 93.57 93.57 110.59
Fractional positions:
Ti 0.1529 0.8471 0.0000
Ti 0.2229 0.7771 0.5000
Ti 0.3968 0.3968 0.1376
Ti 0.6032 0.6032 0.8624
Ti 0.7771 0.2229 0.5000
Ti 0.8471 0.1529 0.0000
V 0.1921 0.1921 0.6570
V 0.8079 0.8079 0.3430
P 0.1185 0.1185 0.2947
P 0.1533 0.5080 0.7992
P 0.4920 0.8467 0.2008
P 0.5080 0.1533 0.7992
P 0.8467 0.4920 0.2008
P 0.8815 0.8815 0.7053

Calculated total energy   -0.2836 Ha/atom
Fermi-level density of states   0.84 states/eV per atom
Calculated formation energy   -0.7128 eV per atom

This record from Alexandria describes an optimized crystal structure of Al3Tc4. The functional is GGA-PBE.

abc: 3.0301 3.0301 21.7203
angles: 90.00 90.00 90.00
Fractional positions:
Al 0.0000 0.0000 0.0000
Al 0.0000 0.0000 0.2879
Al 0.0000 0.0000 0.7121
Al 0.5000 0.5000 0.2121
Al 0.5000 0.5000 0.5000
Al 0.5000 0.5000 0.7879
Tc 0.0000 0.0000 0.1458
Tc 0.0000 0.0000 0.4273
Tc 0.0000 0.0000 0.5727
Tc 0.0000 0.0000 0.8542
Tc 0.5000 0.5000 0.0727
Tc 0.5000 0.5000 0.3542
Tc 0.5000 0.5000 0.6458
Tc 0.5000 0.5000 0.9273

Calculated total energy   -0.2914 Ha/atom
Fermi-level density of states   0.43 states/eV per atom
ΔE to the lowest computed polymorph   0 meV/atom
Calculated formation energy   -0.4008 eV per atom

This record from Alexandria describes an optimized crystal structure of Cr2Tc2Pb. The functional is GGA-PBE.

abc: 3.9400 3.9400 10.9740
angles: 90.00 90.00 90.00
Fractional positions:
Cr 0.0000 0.5000 0.2500
Cr 0.0000 0.5000 0.7500
Cr 0.5000 0.0000 0.2500
Cr 0.5000 0.0000 0.7500
Tc 0.0000 0.0000 0.1238
Tc 0.0000 0.0000 0.8762
Tc 0.5000 0.5000 0.3762
Tc 0.5000 0.5000 0.6238
Pb 0.0000 0.0000 0.5000
Pb 0.5000 0.5000 0.0000

Calculated total energy   -0.3038 Ha/atom
Fermi-level density of states   0.79 states/eV per atom
ΔE to the lowest computed polymorph   0 meV/atom
Calculated formation energy   0.4709 eV per atom

This record from Alexandria describes an optimized crystal structure of CsMg6BO8. The functional is GGA-PBE.

abc: 4.4025 4.4025 9.8136
angles: 90.00 90.00 90.00
Fractional positions:
Cs 0.0000 0.0000 0.0000
Mg 0.0000 0.0000 0.5000
Mg 0.0000 0.5000 0.2876
Mg 0.0000 0.5000 0.7124
Mg 0.5000 0.0000 0.2876
Mg 0.5000 0.0000 0.7124
Mg 0.5000 0.5000 0.5000
B 0.5000 0.5000 0.0000
O 0.0000 0.0000 0.2904
O 0.0000 0.0000 0.7096
O 0.0000 0.5000 0.0000
O 0.0000 0.5000 0.5000
O 0.5000 0.0000 0.0000
O 0.5000 0.0000 0.5000
O 0.5000 0.5000 0.2824
O 0.5000 0.5000 0.7176

Calculated total energy   -0.1886 Ha/atom
Fermi-level density of states   0.11 states/eV per atom
ΔE to the lowest computed polymorph   358 meV/atom
Raw formation energy   -1585 meV/atom

This record from Alexandria describes an optimized crystal structure of Cs4Rb8Au3. The functional is GGA-PBE.

abc: 6.3988 6.3988 24.9077
angles: 90.00 90.00 90.00
Fractional positions:
Cs 0.0000 0.5000 0.0813
Cs 0.0000 0.5000 0.5830
Cs 0.5000 0.0000 0.4170
Cs 0.5000 0.0000 0.9187
Rb 0.0000 0.0000 0.2479
Rb 0.0000 0.0000 0.7521
Rb 0.0000 0.5000 0.4153
Rb 0.0000 0.5000 0.9223
Rb 0.5000 0.0000 0.0777
Rb 0.5000 0.0000 0.5847
Rb 0.5000 0.5000 0.2475
Rb 0.5000 0.5000 0.7525
Au 0.0000 0.0000 0.0000
Au 0.0000 0.0000 0.5000
Au 0.5000 0.5000 0.0000

Calculated total energy   -0.0555 Ha/atom
Fermi-level density of states   0.65 states/eV per atom
Calculated formation energy   -0.1116 eV per atom

This record from Alexandria describes an optimized crystal structure of Tm8Ga2Ru. The functional is GGA-PBE.

abc: 9.0300 9.0300 6.7743
angles: 110.39 110.39 32.58
Fractional positions:
Tm 0.0201 0.0201 0.2874
Tm 0.1998 0.1998 0.7975
Tm 0.3445 0.3445 0.5443
Tm 0.4080 0.4080 0.0675
Tm 0.5920 0.5920 0.9325
Tm 0.6555 0.6555 0.4557
Tm 0.8002 0.8002 0.2025
Tm 0.9799 0.9799 0.7126
Ga 0.1774 0.1774 0.2011
Ga 0.8226 0.8226 0.7989
Ru 0.5000 0.5000 0.5000

Calculated total energy   -0.1823 Ha/atom
Fermi-level density of states   0.82 states/eV per atom
Calculated formation energy   -0.3159 eV per atom